{"formula": "RbGe", "functional": "PBE", "state": "optimized geometry", "lattice": [[5.3941, 0.0000, 0.0000], [0.0000, 18.9163, 0.0000], [0.0000, 0.0000, 4.6986]], "species": ["Rb", "Rb", "Rb", "Rb", "Rb", "Rb", "Ge", "Ge", "Ge", "Ge", "Ge", "Ge"], "fractional_positions": [[0.2500, 0.0634, 0.2483], [0.2500, 0.2500, 0.2256], [0.2500, 0.4366, 0.2483], [0.7500, 0.5634, 0.7517], [0.7500, 0.7500, 0.7744], [0.7500, 0.9366, 0.7517], [0.2500, 0.6278, 0.2583], [0.2500, 0.7500, 0.2697], [0.2500, 0.8722, 0.2583], [0.7500, 0.1278, 0.7417], [0.7500, 0.2500, 0.7303], [0.7500, 0.3722, 0.7417]], "density_g_cm3": 3.3, "formation_energy_ev_per_atom": 0.06, "e_above_lowest_polymorph_mev_per_atom": 248}


{"formula": "RbGe2", "functional": "PBE", "state": "optimized geometry", "lattice": [[0.0000, 4.2723, 4.2723], [4.2723, 0.0000, 4.2723], [4.2723, 4.2723, 0.0000]], "species": ["Rb", "Rb", "Ge", "Ge", "Ge", "Ge"], "fractional_positions": [[0.1250, 0.1250, 0.1250], [0.8750, 0.8750, 0.8750], [0.0000, 0.5000, 0.5000], [0.5000, 0.0000, 0.5000], [0.5000, 0.5000, 0.0000], [0.5000, 0.5000, 0.5000]], "density_g_cm3": 4.9, "formation_energy_ev_per_atom": 0.17, "e_above_lowest_polymorph_mev_per_atom": 79}